# AcBMo2O8 (GGA+U, relaxed)
data_AcBMo2O8
_chemical_formula_sum 'Ac1 B1 Mo2 O8'
_cell_length_a 5.5270
_cell_length_b 5.5270
_cell_length_c 6.5027
_cell_angle_alpha 90.00
_cell_angle_beta 90.00
_cell_angle_gamma 120.00
_symmetry_space_group_name_H-M 'P -3 m 1'
_symmetry_Int_Tables_number 164
_symmetry_space_group_name_Hall '-P 3 2"'
loop_
_atom_site_label
_atom_site_type_symbol
_atom_site_fract_x
_atom_site_fract_y
_atom_site_fract_z
_atom_site_occupancy
Ac1 Ac 0.0000 0.0000 0.0000 1
B1 B 0.0000 0.0000 0.5000 1
Mo1 Mo 0.3333 0.6667 0.2859 1
O1 O 0.1416 0.2832 0.3417 1
O2 O 0.3333 0.6667 0.0034 1
# * E_tot: -84.8 eV for the cell shown
# * crystal system: trigonal
# * calculated volume: 14.34 Å³/atom
# * density: 5.4 g/cm3